[1]
# PBE Y2BeRu, relaxed
# Energy relative to the elements = 0.5 eV/f.u.
data_Y2BeRu
_chemical_formula_sum 'Y4 Be2 Ru2'
_symmetry_space_group_name_H-M 'I -4 m 2'
_symmetry_Int_Tables_number 119
_symmetry_space_group_name_Hall 'I -4 -2'
_cell_length_a 4.222
_cell_length_b 4.222
_cell_length_c 8.779
_cell_angle_alpha 90.00
_cell_angle_beta 90.00
_cell_angle_gamma 90.00
loop_
_atom_site_label
_atom_site_type_symbol
_atom_site_fract_x
_atom_site_fract_y
_atom_site_fract_z
Y1 Y 0.000 0.000 0.000
Y2 Y 0.000 0.500 0.250
Be1 Be 0.000 0.500 0.750
Ru1 Ru 0.000 0.000 0.500

[2]
# PBE YBeRu2, relaxed
# Energy relative to the elements = 0.2 eV/f.u.
data_YBeRu2
_chemical_formula_sum 'Y2 Be2 Ru4'
_symmetry_space_group_name_H-M 'C 1 m 1'
_symmetry_Int_Tables_number 8
_cell_length_a 9.535
_cell_length_b 3.142
_cell_length_c 4.735
_cell_angle_alpha 90.00
_cell_angle_beta 110.22
_cell_angle_gamma 90.00
loop_
_symmetry_equiv_pos_as_xyz
'x,y,z'
'x,-y,z'
'x+1/2,y+1/2,z'
'x+1/2,-y+1/2,z'
loop_
_atom_site_label
_atom_site_type_symbol
_atom_site_fract_x
_atom_site_fract_y
_atom_site_fract_z
Y1 Y 0.000 0.000 0.000
Be1 Be 0.286 0.500 0.373
Ru1 Ru 0.226 0.000 0.661
Ru2 Ru 0.488 0.000 0.487

[3]
# PBE YBeRu2, relaxed
# Energy relative to the elements = 0.1 eV/f.u.
data_YBeRu2
_chemical_formula_sum 'Y1 Be1 Ru2'
_symmetry_space_group_name_H-M 'P 4 m m'
_symmetry_Int_Tables_number 99
_cell_length_a 3.123
_cell_length_b 3.123
_cell_length_c 6.528
_cell_angle_alpha 90.00
_cell_angle_beta 90.00
_cell_angle_gamma 90.00
loop_
_symmetry_equiv_pos_as_xyz
'x,y,z'
'-y,x,z'
'-x,-y,z'
'y,-x,z'
'-x,y,z'
'y,x,z'
'x,-y,z'
'-y,-x,z'
loop_
_atom_site_label
_atom_site_type_symbol
_atom_site_fract_x
_atom_site_fract_y
_atom_site_fract_z
Y1 Y 0.000 0.000 0.000
Be1 Be 0.500 0.500 0.330
Ru1 Ru 0.000 0.000 0.452
Ru2 Ru 0.500 0.500 0.706

[4]
# PBE Y2BeRu, relaxed
# Energy relative to the elements = -0.5 eV/f.u.
data_Y2BeRu
_chemical_formula_sum 'Y4 Be2 Ru2'
_symmetry_space_group_name_H-M 'C 1 m 1'
_symmetry_Int_Tables_number 8
_cell_length_a 10.760
_cell_length_b 3.370
_cell_length_c 4.685
_cell_angle_alpha 90.00
_cell_angle_beta 108.70
_cell_angle_gamma 90.00
loop_
_symmetry_equiv_pos_as_xyz
'x,y,z'
'x,-y,z'
'x+1/2,y+1/2,z'
'x+1/2,-y+1/2,z'
loop_
_atom_site_label
_atom_site_type_symbol
_atom_site_fract_x
_atom_site_fract_y
_atom_site_fract_z
Y1 Y 0.000 0.000 0.000
Y2 Y 0.214 0.000 0.662
Be1 Be 0.444 0.000 0.457
Ru1 Ru 0.300 0.500 0.241

[5]
# PBE Y2BeRu, relaxed
# Energy relative to the elements = -0.5 eV/f.u.
data_Y2BeRu
_chemical_formula_sum 'Y2 Be1 Ru1'
_symmetry_space_group_name_H-M 'P 4/m m m'
_symmetry_Int_Tables_number 123
_symmetry_space_group_name_Hall '-P 4 2'
_cell_length_a 3.450
_cell_length_b 3.450
_cell_length_c 6.750
_cell_angle_alpha 90.00
_cell_angle_beta 90.00
_cell_angle_gamma 90.00
loop_
_atom_site_label
_atom_site_type_symbol
_atom_site_fract_x
_atom_site_fract_y
_atom_site_fract_z
Y1 Y 0.000 0.000 0.247
Be1 Be 0.500 0.500 0.500
Ru1 Ru 0.500 0.500 0.000

[6]
# PBE YBe2Ru2, relaxed
# Energy relative to the elements = -0.9 eV/f.u.
data_YBe2Ru2
_chemical_formula_sum 'Y4 Be8 Ru8'
_symmetry_space_group_name_H-M 'I 4/m m m'
_symmetry_Int_Tables_number 139
_symmetry_space_group_name_Hall '-I 4 2'
_cell_length_a 3.896
_cell_length_b 3.896
_cell_length_c 19.368
_cell_angle_alpha 90.00
_cell_angle_beta 90.00
_cell_angle_gamma 90.00
loop_
_atom_site_label
_atom_site_type_symbol
_atom_site_fract_x
_atom_site_fract_y
_atom_site_fract_z
Y1 Y 0.000 0.000 0.127
Be1 Be 0.000 0.000 0.430
Be2 Be 0.000 0.500 0.250
Ru1 Ru 0.000 0.000 0.309
Ru2 Ru 0.000 0.500 0.000

[7]
# PBE YBeRu2, relaxed
# Energy relative to the elements = 0.7 eV/f.u.
data_YBeRu2
_chemical_formula_sum 'Y1 Be1 Ru2'
_symmetry_space_group_name_H-M 'P m m m'
_symmetry_Int_Tables_number 47
_cell_length_a 3.238
_cell_length_b 4.193
_cell_length_c 4.674
_cell_angle_alpha 90.00
_cell_angle_beta 90.00
_cell_angle_gamma 90.00
loop_
_symmetry_equiv_pos_as_xyz
'x,y,z'
'-x,-y,-z'
'-x,-y,z'
'x,y,-z'
'x,-y,-z'
'-x,y,z'
'-x,y,-z'
'x,-y,z'
loop_
_atom_site_label
_atom_site_type_symbol
_atom_site_fract_x
_atom_site_fract_y
_atom_site_fract_z
Y1 Y 0.000 0.000 0.000
Be1 Be 0.500 0.000 0.500
Ru1 Ru 0.000 0.500 0.500
Ru2 Ru 0.500 0.500 0.000

[8]
# PBE YBeRu2, relaxed
# Energy relative to the elements = 0.0 eV/f.u.
data_YBeRu2
_chemical_formula_sum 'Y1 Be1 Ru2'
_symmetry_space_group_name_H-M 'P 1 2/m 1'
_symmetry_Int_Tables_number 10
_cell_length_a 3.210
_cell_length_b 3.315
_cell_length_c 6.035
_cell_angle_alpha 90.00
_cell_angle_beta 98.57
_cell_angle_gamma 90.00
loop_
_symmetry_equiv_pos_as_xyz
'x,y,z'
'-x,-y,-z'
'-x,y,-z'
'x,-y,z'
loop_
_atom_site_label
_atom_site_type_symbol
_atom_site_fract_x
_atom_site_fract_y
_atom_site_fract_z
Y1 Y 0.000 0.000 0.000
Be1 Be 0.000 0.000 0.500
Ru1 Ru 0.414 0.500 0.694

[9]
# PBE YBeRu, relaxed
# Energy relative to the elements = -0.8 eV/f.u.
data_YBeRu
_chemical_formula_sum 'Y1 Be1 Ru1'
_symmetry_space_group_name_H-M 'P -6 m 2'
_symmetry_Int_Tables_number 187
_symmetry_space_group_name_Hall 'P -6 2'
_cell_length_a 3.9862
_cell_length_b 3.9862
_cell_length_c 3.8060
_cell_angle_alpha 90.00
_cell_angle_beta 90.00
_cell_angle_gamma 120.00
loop_
_atom_site_label
_atom_site_type_symbol
_atom_site_fract_x
_atom_site_fract_y
_atom_site_fract_z
Y1 Y 0.0000 0.0000 0.0000
Be1 Be 0.3333 0.6667 0.5000
Ru1 Ru 0.6667 0.3333 0.5000

[10]
# PBE YBeRu, relaxed
# Energy relative to the elements = 2.9 eV/f.u.
data_YBeRu
_chemical_formula_sum 'Y4 Be4 Ru4'
_symmetry_space_group_name_H-M 'F -4 3 m'
_symmetry_Int_Tables_number 216
_symmetry_space_group_name_Hall 'F -4 2 3'
_cell_length_a 6.286
_cell_length_b 6.286
_cell_length_c 6.286
_cell_angle_alpha 90.00
_cell_angle_beta 90.00
_cell_angle_gamma 90.00
loop_
_atom_site_label
_atom_site_type_symbol
_atom_site_fract_x
_atom_site_fract_y
_atom_site_fract_z
Y1 Y 0.000 0.000 0.000
Be1 Be 0.250 0.250 0.250
Ru1 Ru 0.250 0.250 0.750

[11]
# PBE Y2BeRu, relaxed
# Energy relative to the elements = -0.6 eV/f.u.
data_Y2BeRu
_chemical_formula_sum 'Y2 Be1 Ru1'
_symmetry_space_group_name_H-M 'P 4 m m'
_symmetry_Int_Tables_number 99
_cell_length_a 3.262
_cell_length_b 3.262
_cell_length_c 7.724
_cell_angle_alpha 90.00
_cell_angle_beta 90.00
_cell_angle_gamma 90.00
loop_
_symmetry_equiv_pos_as_xyz
'x,y,z'
'-y,x,z'
'-x,-y,z'
'y,-x,z'
'-x,y,z'
'y,x,z'
'x,-y,z'
'-y,-x,z'
loop_
_atom_site_label
_atom_site_type_symbol
_atom_site_fract_x
_atom_site_fract_y
_atom_site_fract_z
Y1 Y 0.000 0.000 0.000
Y2 Y 0.500 0.500 0.395
Be1 Be 0.000 0.000 0.641
Ru1 Ru 0.500 0.500 0.739

[12]
# PBE Y2BeRu, relaxed
# Energy relative to the elements = 0.7 eV/f.u.
data_Y2BeRu
_chemical_formula_sum 'Y8 Be4 Ru4'
_symmetry_space_group_name_H-M 'F -4 3 m'
_symmetry_Int_Tables_number 216
_symmetry_space_group_name_Hall 'F -4 2 3'
_cell_length_a 6.700
_cell_length_b 6.700
_cell_length_c 6.700
_cell_angle_alpha 90.00
_cell_angle_beta 90.00
_cell_angle_gamma 90.00
loop_
_atom_site_label
_atom_site_type_symbol
_atom_site_fract_x
_atom_site_fract_y
_atom_site_fract_z
Y1 Y 0.000 0.000 0.000
Y2 Y 0.250 0.250 0.250
Be1 Be 0.250 0.250 0.750
Ru1 Ru 0.000 0.000 0.500

[13]
# PBE Y2BeRu, relaxed
# Energy relative to the elements = -1.0 eV/f.u.
data_Y2BeRu
_chemical_formula_sum 'Y4 Be2 Ru2'
_symmetry_space_group_name_H-M 'A m m 2'
_symmetry_Int_Tables_number 38
_cell_length_a 3.955
_cell_length_b 4.044
_cell_length_c 10.655
_cell_angle_alpha 90.00
_cell_angle_beta 90.00
_cell_angle_gamma 90.00
loop_
_symmetry_equiv_pos_as_xyz
'x,y,z'
'-x,-y,z'
'-x,y,z'
'x,-y,z'
'x,y+1/2,z+1/2'
'-x,-y+1/2,z+1/2'
'-x,y+1/2,z+1/2'
'x,-y+1/2,z+1/2'
loop_
_atom_site_label
_atom_site_type_symbol
_atom_site_fract_x
_atom_site_fract_y
_atom_site_fract_z
Y1 Y 0.000 0.000 0.000
Y2 Y 0.500 0.000 0.279
Be1 Be 0.000 0.000 0.693
Ru1 Ru 0.500 0.000 0.582

[14]
# PBE YBeRu2, relaxed
# Energy relative to the elements = 0.3 eV/f.u.
data_YBeRu2
_chemical_formula_sum 'Y2 Be2 Ru4'
_symmetry_space_group_name_H-M 'I m m 2'
_symmetry_Int_Tables_number 44
_cell_length_a 3.138
_cell_length_b 4.401
_cell_length_c 9.169
_cell_angle_alpha 90.00
_cell_angle_beta 90.00
_cell_angle_gamma 90.00
loop_
_symmetry_equiv_pos_as_xyz
'x,y,z'
'-x,-y,z'
'-x,y,z'
'x,-y,z'
'x+1/2,y+1/2,z+1/2'
'-x+1/2,-y+1/2,z+1/2'
'-x+1/2,y+1/2,z+1/2'
'x+1/2,-y+1/2,z+1/2'
loop_
_atom_site_label
_atom_site_type_symbol
_atom_site_fract_x
_atom_site_fract_y
_atom_site_fract_z
Y1 Y 0.000 0.000 0.000
Be1 Be 0.000 0.500 0.778
Ru1 Ru 0.000 0.000 0.491
Ru2 Ru 0.000 0.500 0.232

| no. | volume (Å³/cell) |
| --- | --- |
| 1 | 156 |
| 2 | 133 |
| 3 | 64 |
| 4 | 161 |
| 5 | 80 |
| 6 | 294 |
| 7 | 63 |
| 8 | 64 |
| 9 | 52 |
| 10 | 248 |
| 11 | 82 |
| 12 | 301 |
| 13 | 170 |
| 14 | 127 |